(1)
! Li2TcAg SCAN single point on PBEsol structure; values from VASP
&SYSTEM
  ibrav = 0, nat = 4, ntyp = 3
/
ATOMIC_SPECIES
Ag 107.87 Ag.upf
Li 6.94 Li.upf
Tc 98.00 Tc.upf
ATOMIC_POSITIONS crystal
Ag 0.500 0.500 0.735
Li 0.000 0.000 0.005
Li 0.500 0.500 0.249
Tc 0.000 0.000 0.511
CELL_PARAMETERS angstrom
-2.315 0.870 0.545
-1.646 -2.296 -3.323
-0.797 -4.178 3.282
! Formation energy = 0.288 eV/atom
! Total energy = -70.1 eV for the cell shown
! DOS(E_F) = 1.77 states/eV/cell
! Total magnetic moment = 1.1 μB/cell
! V = 59.3 Å³ per cell
! Energy relative to the lowest polymorph listed for this composition = 0.0000 eV/atom

(2)
! RbMoNO2 SCAN single point on PBEsol structure; values from VASP
&SYSTEM
  ibrav = 0, nat = 5, ntyp = 4
/
ATOMIC_SPECIES
Mo 95.94 Mo.upf
O 16.00 O.upf
Rb 85.47 Rb.upf
N 14.01 N.upf
ATOMIC_POSITIONS crystal
Mo 0.000 0.000 0.000
O 0.000 0.500 0.000
O 0.500 0.000 0.000
Rb 0.000 0.000 0.500
N 0.500 0.500 0.500
CELL_PARAMETERS angstrom
3.803 0.000 0.000
0.000 3.803 0.000
0.000 0.000 7.678
! Total energy = -78.6 eV for the cell shown
! Raw formation energy = -23.5 kJ per mole of atoms
! DOS(E_F) = 1.70 states/eV/cell
! Total magnetic moment = 4.1 μB/cell
! V = 111.1 Å³ per cell

(3)
! Ca2ScCr SCAN single point on PBEsol structure; values from VASP
&SYSTEM
  ibrav = 0, nat = 4, ntyp = 3
/
ATOMIC_SPECIES
Sc 44.96 Sc.upf
Cr 52.00 Cr.upf
Ca 40.08 Ca.upf
ATOMIC_POSITIONS crystal
Sc 0.000 0.000 0.500
Cr 0.500 0.500 0.500
Ca 0.000 0.500 0.000
Ca 0.500 0.000 0.000
CELL_PARAMETERS angstrom
4.629 0.000 0.000
0.000 4.629 0.000
0.000 0.000 5.095
! Formation energy = 0.364 eV/atom
! Total energy = -50.5 eV for the cell shown
! DOS(E_F) = 4.10 states/eV/cell
! Total magnetic moment = 5.1 μB/cell
! V = 109.2 Å³ per cell
! Energy relative to the lowest polymorph listed for this composition = 0.1748 eV/atom

(4)
! CaZrTa SCAN single point on PBEsol structure; values from VASP
&SYSTEM
  ibrav = 0, nat = 3, ntyp = 3
/
ATOMIC_SPECIES
Ca 40.08 Ca.upf
Zr 91.22 Zr.upf
Ta 180.95 Ta.upf
ATOMIC_POSITIONS crystal
Ca 0.009 0.009 0.019
Zr 0.313 0.313 0.625
Ta 0.678 0.678 0.356
CELL_PARAMETERS angstrom
3.046 -0.015 0.000
-0.757 2.951 0.000
-1.145 -1.468 7.778
! Formation energy = 0.475 eV/atom
! Total energy = -105.5 eV for the cell shown
! DOS(E_F) = 3.42 states/eV/cell
! Total magnetic moment = 0.0 μB/cell
! V = 69.8 Å³ per cell

(5)
! BeReOs SCAN single point on PBEsol structure; values from VASP
&SYSTEM
  ibrav = 0, nat = 3, ntyp = 3
/
ATOMIC_SPECIES
Re 186.21 Re.upf
Os 190.23 Os.upf
Be 9.01 Be.upf
ATOMIC_POSITIONS crystal
Re 0.000 0.000 0.000
Os 0.250 0.250 0.250
Be 0.500 0.500 0.500
CELL_PARAMETERS angstrom
-0.081 -3.445 2.040
2.238 -0.430 3.293
-1.745 -0.155 3.601
! Formation energy = 0.241 eV/atom
! Total energy = -146.6 eV for the cell shown
! DOS(E_F) = 2.59 states/eV/cell
! Total magnetic moment = 0.0 μB/cell
! V = 45.4 Å³ per cell
! Energy relative to the lowest polymorph listed for this composition = 0.5044 eV/atom

(6)
! TaCdTeN2 SCAN single point on PBEsol structure; values from VASP
&SYSTEM
  ibrav = 0, nat = 5, ntyp = 4
/
ATOMIC_SPECIES
Cd 112.41 Cd.upf
N 14.01 N.upf
Te 127.60 Te.upf
Ta 180.95 Ta.upf
ATOMIC_POSITIONS crystal
Cd 0.500 0.500 0.500
N 0.000 0.500 0.000
N 0.500 0.000 0.000
Te 0.000 0.000 0.500
Ta 0.000 0.000 0.000
CELL_PARAMETERS angstrom
-0.760 3.359 2.085
-3.815 -0.066 -1.285
-1.490 -3.183 4.586
! Total energy = -152.5 eV for the cell shown
! Raw formation energy = 6.8 kJ per mole of atoms
! DOS(E_F) = 1.43 states/eV/cell
! Total magnetic moment = 1.0 μB/cell
! V = 93.6 Å³ per cell

(7)
! K2CuBiI6 SCAN single point on PBEsol structure; values from VASP
&SYSTEM
  ibrav = 0, nat = 10, ntyp = 4
/
ATOMIC_SPECIES
K 39.10 K.upf
Cu 63.55 Cu.upf
Bi 208.98 Bi.upf
I 126.90 I.upf
ATOMIC_POSITIONS crystal
K 0.750 0.750 0.750
K 0.250 0.250 0.250
Cu 0.500 0.500 0.500
Bi 0.000 0.000 0.000
I 0.738 0.262 0.262
I 0.738 0.738 0.262
I 0.262 0.738 0.738
I 0.738 0.262 0.738
I 0.262 0.738 0.262
I 0.262 0.262 0.738
CELL_PARAMETERS angstrom
8.209 0.000 0.000
4.104 7.109 0.000
4.104 2.370 6.702
! Total energy = -338.4 eV for the cell shown
! Raw formation energy = -72.7 kJ per mole of atoms
! DOS(E_F) = 0.28 states/eV/cell
! Total magnetic moment = 0.0 μB/cell
! V = 391.1 Å³ per cell

(8)
! Rb3TcW SCAN single point on PBEsol structure; values from VASP
&SYSTEM
  ibrav = 0, nat = 5, ntyp = 3
/
ATOMIC_SPECIES
Rb 85.47 Rb.upf
Tc 98.00 Tc.upf
W 183.84 W.upf
ATOMIC_POSITIONS crystal
Rb 0.000 0.500 0.000
Rb 0.000 0.000 0.500
Rb 0.500 0.000 0.000
Tc 0.000 0.000 0.000
W 0.500 0.500 0.500
CELL_PARAMETERS angstrom
-5.534 -1.575 2.481
-1.983 -1.903 -5.631
2.169 -5.759 1.182
! Formation energy = 2.438 eV/atom
! Total energy = -154.8 eV for the cell shown
! DOS(E_F) = 8.22 states/eV/cell
! Total magnetic moment = 8.1 μB/cell
! V = 246.0 Å³ per cell